No. 1
DFT (PBE) results for an optimized crystal structure of Pm2Sm4YEr2.

Lattice parameters (Å, degrees): 15.3042 5.0960 8.0358 90.00 108.54 90.00
Last column: nearest neighbours and their distance in Å.
Space group C2/m (No. 12)
Inequivalent atoms, fractional coordinates:
Pm 0.1117 0.0000 0.1682 x4  3 Er 3.58-3.59, 1 Y 3.60, 7 Sm 3.60-3.62, 1 Pm 3.62
Sm 0.0555 0.5000 0.8319 x4  2 Y 3.59, 2 Er 3.60, 4 Sm 3.61-3.62, 4 Pm 3.61
Sm 0.2220 0.0000 0.8311 x4  3 Er 3.58-3.59, 1 Y 3.59, 3 Pm 3.60-3.62, 5 Sm 3.61-3.62
Y 0.0000 0.0000 0.5000 x2  6 Sm 3.59, 2 Pm 3.60, 4 Er 3.61
Er 0.1673 0.5000 0.5000 x4  3 Pm 3.58-3.59, 5 Sm 3.58-3.60, 2 Er 3.59, 2 Y 3.61

Summary:
**Formation energy from the elements**: 0.020 eV per atom



No. 2
DFT (PBE) results for an optimized crystal structure of Ba2NaF2.

Lattice parameters (Å, degrees): 8.4091 8.4091 3.6880 90.00 90.00 90.00
Last column: nearest neighbours and their distance in Å.
Space group P4/mbm (No. 127)
Inequivalent atoms, fractional coordinates:
Ba 0.1637 0.3363 0.0000 x4  6 F 3.03-3.18
Na 0.0000 0.0000 0.5000 x2  4 F 3.36, 8 Ba 3.65, 2 Na 3.69
F 0.1187 0.6187 0.5000 x4  1 F 2.82, 4 Ba 3.03

Summary:
**E_form (uncorrected)**: -1.839 eV/atom
**Offset from the most stable computed form**: 0.845 eV/f.u.



No. 3
DFT (PBE) results for an optimized crystal structure of TaTeRu.

Lattice parameters (Å, degrees): 11.8082 3.3293 6.2313 90.00 90.00 90.00
Last column: nearest neighbours and their distance in Å.
Space group Amm2 (No. 38)
Inequivalent atoms, fractional coordinates:
Ta 0.0000 0.0000 0.0000 x2  6 Te 2.77-2.83
Ta 0.5000 0.0000 0.0960 x2  6 Ru 2.53-2.58
Te 0.1669 0.0000 0.3130 x4  3 Ta 2.77-2.83, 2 Ru 2.87
Ru 0.3645 0.0000 0.7806 x4  3 Ta 2.53-2.58

Summary:
**E_form (uncorrected)**: 0.205 eV/atom
**Offset from the most stable computed form**: 1.323 eV/f.u.



Results for size of the total moment: 0.00 0.05 0.00 (in μB/atom, following the order of the records).